Entry 1:
Below is crystalline Re4As at its relaxed geometry, with properties calculated at the PBE level.

For the theoretical density, the calculation gives 15.415 Mg/m³. The value obtained for the formation energy is 1.49 eV per atom.

It has space group Im-3m (No. 229), with a = 5.6105 Å, b = 5.6105 Å, c = 5.6105 Å, α = 90.00°, β = 90.00° and γ = 90.00°. The distinct sites, in fractional coordinates, are Re at (0.2500, 0.2500, 0.2500) and As at (0.0000, 0.0000, 0.0000).

=====

Entry 2:
Below is crystalline Ga6PdRh at its relaxed geometry, with properties calculated at the PBE level.

For the theoretical density, the calculation gives 7.424 Mg/m³. The value obtained for the formation energy is -0.23 eV per atom.

It has space group R-3m (No. 166, hexagonal axes), with a = 8.5876 Å, b = 8.5876 Å, c = 6.5951 Å, α = 90.00°, β = 90.00° and γ = 120.00°. The distinct sites, in fractional coordinates, are Ga at (0.0217, 0.5108, 0.2940), Pd at (0.0000, 0.0000, 0.0000) and Rh at (0.0000, 0.0000, 0.5000).

=====

Entry 3:
Below is crystalline CaAc8Ge6 at its relaxed geometry, with properties calculated at the PBE level.

For the theoretical density, the calculation gives 7.367 Mg/m³. The value obtained for the formation energy is -0.56 eV per atom.

It has space group R-3 (No. 148, hexagonal axes), with a = 9.4690 Å, b = 9.4690 Å, c = 19.9589 Å, α = 90.00°, β = 90.00° and γ = 120.00°. The distinct sites, in fractional coordinates, are Ca at (0.0000, 0.0000, 0.0000), Ac at (0.0000, 0.0000, 0.3346), Ac at (0.0010, 0.6720, 0.1004) and Ge at (0.9997, 0.3349, 0.4021).

=====

Among the records above, which one has the lowest theoretical density? CaAc8Ge6